# meta-GGA SCAN La2TaAu, PBEsol geometry
data_La2TaAu
_symmetry_space_group_name_H-M 'P 1'
_symmetry_Int_Tables_number 1
_symmetry_space_group_name_Hall 'P 1'
_cell_length_a 5.508
_cell_length_b 5.508
_cell_length_c 3.245
_cell_angle_alpha 90.00
_cell_angle_beta 90.00
_cell_angle_gamma 90.00
loop_
_atom_site_label
_atom_site_type_symbol
_atom_site_fract_x
_atom_site_fract_y
_atom_site_fract_z
La1 La 0.000 0.500 0.000
La2 La 0.500 0.000 0.000
Ta1 Ta 0.000 0.000 0.500
Au1 Au 0.500 0.500 0.500
# **E_form**: -0.014 eV per atom
# **Calculated density**: 11063 kg/m3
# **Volume**: 98.4 Å³/cell
# **Energy relative to the lowest polymorph listed for this composition**: 84 meV per atom
# **Total DFT energy (no corrections)**: -222.004 eV per formula unit

# meta-GGA SCAN Y3AsH, PBEsol geometry
data_Y3AsH
_symmetry_space_group_name_H-M 'P 1'
_symmetry_Int_Tables_number 1
_symmetry_space_group_name_Hall 'P 1'
_cell_length_a 4.594
_cell_length_b 4.594
_cell_length_c 4.594
_cell_angle_alpha 90.00
_cell_angle_beta 90.00
_cell_angle_gamma 90.00
loop_
_atom_site_label
_atom_site_type_symbol
_atom_site_fract_x
_atom_site_fract_y
_atom_site_fract_z
Y1 Y 0.000 0.000 0.500
Y2 Y 0.000 0.500 0.000
Y3 Y 0.500 0.000 0.000
As1 As 0.500 0.500 0.500
H1 H 0.000 0.000 0.000
# **Calculated density**: 5867 kg/m3
# **Volume**: 97.0 Å³/cell
# **Total DFT energy (no corrections)**: -109.708 eV per formula unit